VASP calculation (PBEsol) on CePrAl4 after structural relaxation.

Values from the calculation:
As for the density of states at the Fermi level: 7.7 states/eV per cell. For the formation energy, the calculation gives -0.440 eV per atom. The value obtained for the calculated density is 5.2 g/cm³.

Unit cell a=5.615 b=5.615 c=5.615 alpha=60.00 beta=60.00 gamma=60.00
Element x y z (fractional)
1 Ce 0.000 0.000 0.000
2 Pr 0.250 0.250 0.250
3 Al 0.123 0.626 0.626
4 Al 0.626 0.123 0.626
5 Al 0.626 0.626 0.123
6 Al 0.626 0.626 0.626

VASP calculation (PBEsol) on Na2BiO3 after structural relaxation.

Values from the calculation:
As for the formation energy without anion corrections: -1397 meV per atom. As for the density of states at the Fermi level: 0.8 states/eV per cell. The value obtained for the calculated density is 6.2 g/cm³.

Unit cell a=5.807 b=5.807 c=5.803 alpha=100.83 beta=100.83 gamma=117.88
Element x y z (fractional)
1 Na 0.082 0.918 0.750
2 Na 0.244 0.756 0.250
3 Na 0.756 0.244 0.750
4 Na 0.918 0.082 0.250
5 Bi 0.408 0.592 0.750
6 Bi 0.592 0.408 0.250
7 O 0.000 0.500 0.500
8 O 0.218 0.355 0.998
9 O 0.355 0.218 0.498
10 O 0.500 0.000 0.000
11 O 0.645 0.782 0.502
12 O 0.782 0.645 0.002

> What is the calculated density in the second record?

6.2 g/cm³

> Which formula does entry 1 have?

CePrAl4

> Which of these has the lowest calculated density?

CePrAl4

> The highest calculated density belongs to which entry?

Na2BiO3